[1]
A plane-wave DFT calculation with GGA-PBE was carried out for an optimized crystal structure of InAgW2.

Output
spin magnetization	0.0000	μB per atom
E_form	0.63	eV per atom
uncorrected energy	-7.25	eV/atom

```
4
Lattice="4.626 0.000 0.000 0.000 3.890 0.000 0.000 0.000 3.890" Properties=species:S:1:pos:R:3 pbc="T T T"
Ag 2.313 1.945 0.000
W 0.000 0.000 0.000
W 0.000 1.945 1.945
In 2.313 0.000 1.945
```

[2]
A plane-wave DFT calculation with GGA-PBE was carried out for an optimized crystal structure of BaSrCu2Re.

Output
spin magnetization	0.7153	μB per atom
E_form	2.16	eV per atom
uncorrected energy	-2.69	eV/atom

```
5
Lattice="-1.091 -4.257 3.026 4.672 -3.407 -3.110 3.587 1.637 3.595" Properties=species:S:1:pos:R:3 pbc="T T T"
Re 3.584 -3.014 1.755
Ba 0.000 0.000 0.000
Cu 1.793 0.818 1.798
Cu -0.545 -2.129 1.513
Sr 2.336 -1.704 -1.555
```

[3]
A plane-wave DFT calculation with GGA-PBE was carried out for an optimized crystal structure of Rb2In6Sn3.

Output
spin magnetization	0.0000	μB per atom
E_form	-0.08	eV per atom
uncorrected energy	-2.84	eV/atom

```
11
Lattice="5.087 0.000 0.000 0.000 9.223 0.000 0.000 -4.611 7.987" Properties=species:S:1:pos:R:3 pbc="T T T"
Rb 0.000 4.611 2.662
Rb 0.000 0.000 5.325
In 2.543 3.280 5.682
In 2.543 -1.331 2.305
In 0.000 0.877 1.519
In 0.000 7.469 0.000
In 2.543 2.662 0.000
In 0.000 -3.735 6.468
Sn 2.543 1.683 2.914
Sn 2.543 5.858 0.000
Sn 2.543 -2.929 5.073
```

[4]
A plane-wave DFT calculation with GGA-PBE was carried out for an optimized crystal structure of Ce2HoBi3.

Output
spin magnetization	0.2957	μB per atom
E_form	-0.80	eV per atom
uncorrected energy	-5.48	eV/atom

```
24
Lattice="-4.307 1.606 6.409 -4.600 -3.248 -5.523 7.240 -11.605 4.543" Properties=species:S:1:pos:R:3 pbc="T T T"
Ce 0.627 -11.599 8.182
Ce 2.326 -10.376 4.164
Ce -0.301 -7.459 6.520
Ce 1.398 -6.236 2.503
Ce -3.066 -7.010 2.927
Ce -1.220 -3.360 4.875
Ce -3.994 -2.870 1.266
Ce -2.148 0.780 3.214
Ho -2.133 -11.170 4.597
Ho -0.442 -9.913 0.565
Ho -1.373 -5.760 -1.101
Ho 0.465 -2.076 0.833
Bi 2.213 -11.560 1.134
Bi 2.419 -9.097 7.157
Bi 4.119 -7.881 3.141
Bi -0.393 -8.738 3.528
Bi 1.259 -7.437 -0.484
Bi -3.073 -8.236 -0.052
Bi -1.276 -4.534 1.840
Bi -5.786 -5.340 2.351
Bi -3.938 -1.696 4.302
Bi -4.029 -4.138 -1.732
Bi -2.166 -0.399 0.216
Bi -6.741 -1.242 0.671
```

> What is the spin magnetization in the third record?

0.0000 μB per atom

> Number 2 is which compound?

BaSrCu2Re